BaCaHg2 | PBE | relaxed

Size of the total moment ... 0.0 μB per formula unit
Energy of formation ... -0.72 eV/f.u.
Total energy ... -1.31 eV/atom

```
data_BaCaHg2
_symmetry_space_group_name_H-M 'I -4 2 d'
_symmetry_Int_Tables_number 122
_symmetry_space_group_name_Hall 'I -4 2bw'
_cell_length_a 5.6210
_cell_length_b 5.6210
_cell_length_c 20.5871
_cell_angle_alpha 90.00
_cell_angle_beta 90.00
_cell_angle_gamma 90.00
loop_
_atom_site_label
_atom_site_fract_x
_atom_site_fract_y
_atom_site_fract_z
_atom_site_occupancy
Ba1 0.0000 0.0000 0.0000 1
Ca1 0.0000 0.0000 0.5000 1
Hg1 0.1572 0.2500 0.6250 1
```


Ac2InHg4 | PBE | relaxed

Size of the total moment ... 0.0 μB per formula unit
Energy of formation ... -0.73 eV/f.u.
Total energy ... -1.84 eV/atom

```
data_Ac2InHg4
_symmetry_space_group_name_H-M 'I 4/m m m'
_symmetry_Int_Tables_number 139
_symmetry_space_group_name_Hall '-I 4 2'
_cell_length_a 5.3209
_cell_length_b 5.3209
_cell_length_c 17.1185
_cell_angle_alpha 90.00
_cell_angle_beta 90.00
_cell_angle_gamma 90.00
loop_
_atom_site_label
_atom_site_fract_x
_atom_site_fract_y
_atom_site_fract_z
_atom_site_occupancy
Ac1 0.0000 0.0000 0.1346 1
In1 0.0000 0.0000 0.5000 1
Hg1 0.0000 0.0000 0.3231 1
Hg2 0.0000 0.5000 0.0000 1
```


BaCaP | PBE | relaxed

Size of the total moment ... 0.0 μB per formula unit
Energy of formation ... 0.12 eV/f.u.
Total energy ... -3.07 eV/atom

```
data_BaCaP
_symmetry_space_group_name_H-M 'F -4 3 m'
_symmetry_Int_Tables_number 216
_symmetry_space_group_name_Hall 'F -4 2 3'
_cell_length_a 7.4930
_cell_length_b 7.4930
_cell_length_c 7.4930
_cell_angle_alpha 90.00
_cell_angle_beta 90.00
_cell_angle_gamma 90.00
loop_
_atom_site_label
_atom_site_fract_x
_atom_site_fract_y
_atom_site_fract_z
_atom_site_occupancy
Ba1 0.0000 0.0000 0.0000 1
Ca1 0.2500 0.2500 0.2500 1
P1 0.2500 0.2500 0.7500 1
```


Ac2Ga4CuRu3 | PBE | relaxed

Size of the total moment ... 0.0 μB per formula unit
Energy of formation ... -3.71 eV/f.u.
Total energy ... -5.60 eV/atom

```
data_Ac2Ga4CuRu3
_symmetry_space_group_name_H-M 'P -4 m 2'
_symmetry_Int_Tables_number 115
_symmetry_space_group_name_Hall 'P -4 -2'
_cell_length_a 4.3415
_cell_length_b 4.3415
_cell_length_c 10.5515
_cell_angle_alpha 90.00
_cell_angle_beta 90.00
_cell_angle_gamma 90.00
loop_
_atom_site_label
_atom_site_fract_x
_atom_site_fract_y
_atom_site_fract_z
_atom_site_occupancy
Ac1 0.0000 0.5000 0.2473 1
Ga1 0.0000 0.0000 0.5000 1
Ga2 0.0000 0.5000 0.8774 1
Ga3 0.5000 0.5000 0.5000 1
Cu1 0.5000 0.5000 0.0000 1
Ru1 0.0000 0.0000 0.0000 1
Ru2 0.0000 0.5000 0.6301 1
```


Er4CdPt5 | PBE | relaxed

Size of the total moment ... 0.0 μB per formula unit
Energy of formation ... -11.06 eV/f.u.
Total energy ... -6.04 eV/atom

```
data_Er4CdPt5
_symmetry_space_group_name_H-M 'P 4/m m m'
_symmetry_Int_Tables_number 123
_symmetry_space_group_name_Hall '-P 4 2'
_cell_length_a 3.4721
_cell_length_b 3.4721
_cell_length_c 16.7292
_cell_angle_alpha 90.00
_cell_angle_beta 90.00
_cell_angle_gamma 90.00
loop_
_atom_site_label
_atom_site_fract_x
_atom_site_fract_y
_atom_site_fract_z
_atom_site_occupancy
Er1 0.0000 0.0000 0.1036 1
Er2 0.0000 0.0000 0.3119 1
Cd1 0.0000 0.0000 0.5000 1
Pt1 0.5000 0.5000 0.0000 1
Pt2 0.5000 0.5000 0.2071 1
Pt3 0.5000 0.5000 0.4059 1
```


BTe2SN | PBE | relaxed

Raw formation energy ... 1.548 eV per atom
Size of the total moment ... 0.0 μB per formula unit
Total energy ... -3.54 eV/atom

```
data_BTe2SN
_symmetry_space_group_name_H-M 'P 4/m m m'
_symmetry_Int_Tables_number 123
_symmetry_space_group_name_Hall '-P 4 2'
_cell_length_a 5.7321
_cell_length_b 5.7321
_cell_length_c 3.2487
_cell_angle_alpha 90.00
_cell_angle_beta 90.00
_cell_angle_gamma 90.00
loop_
_atom_site_label
_atom_site_fract_x
_atom_site_fract_y
_atom_site_fract_z
_atom_site_occupancy
B1 0.0000 0.0000 0.0000 1
Te1 0.0000 0.5000 0.5000 1
S1 0.5000 0.5000 0.5000 1
N1 0.5000 0.5000 0.0000 1
```


InFe4Sb | PBE | relaxed

Raw formation energy ... 0.202 eV per atom
Size of the total moment ... 9.7 μB per formula unit
Total energy ... -6.58 eV/atom

```
data_InFe4Sb
_symmetry_space_group_name_H-M 'F -4 3 m'
_symmetry_Int_Tables_number 216
_symmetry_space_group_name_Hall 'F -4 2 3'
_cell_length_a 7.1295
_cell_length_b 7.1295
_cell_length_c 7.1295
_cell_angle_alpha 90.00
_cell_angle_beta 90.00
_cell_angle_gamma 90.00
loop_
_atom_site_label
_atom_site_fract_x
_atom_site_fract_y
_atom_site_fract_z
_atom_site_occupancy
In1 0.0000 0.0000 0.0000 1
Fe1 0.1256 0.1256 0.3744 1
Sb1 0.2500 0.2500 0.7500 1
```


Ba3SrCa3 | PBE | relaxed

Size of the total moment ... 0.0 μB per formula unit
Energy of formation ... 0.23 eV/f.u.
Total energy ... -1.89 eV/atom

```
data_Ba3SrCa3
_symmetry_space_group_name_H-M 'C 1 2/m 1'
_symmetry_Int_Tables_number 12
_symmetry_space_group_name_Hall '-C 2y'
_cell_length_a 7.5490
_cell_length_b 13.0657
_cell_length_c 15.4307
_cell_angle_alpha 90.00
_cell_angle_beta 90.12
_cell_angle_gamma 90.00
loop_
_atom_site_label
_atom_site_fract_x
_atom_site_fract_y
_atom_site_fract_z
_atom_site_occupancy
Ba1 0.0000 0.1668 0.0000 1
Ba2 0.0000 0.1668 0.5000 1
Ba3 0.0008 0.5000 0.1270 1
Sr1 0.0016 0.5000 0.3772 1
Ca1 0.0011 0.0000 0.2544 1
Ca2 0.2490 0.2500 0.7456 1
```


Th2BiAs | PBE | relaxed

Size of the total moment ... 0.0 μB per formula unit
Energy of formation ... -3.99 eV/f.u.
Total energy ... -6.84 eV/atom

```
data_Th2BiAs
_symmetry_space_group_name_H-M 'R -3 m'
_symmetry_Int_Tables_number 166
_symmetry_space_group_name_Hall '-R 3 2"'
_cell_length_a 4.3846
_cell_length_b 4.3846
_cell_length_c 22.0649
_cell_angle_alpha 90.00
_cell_angle_beta 90.00
_cell_angle_gamma 120.00
loop_
_atom_site_label
_atom_site_fract_x
_atom_site_fract_y
_atom_site_fract_z
_atom_site_occupancy
Th1 0.0000 0.0000 0.2386 1
Bi1 0.0000 0.0000 0.0000 1
As1 0.0000 0.0000 0.5000 1
```


La7PmPr12 | PBE | relaxed

Size of the total moment ... 0.0 μB per formula unit
Energy of formation ... 10.85 eV/f.u.
Total energy ... -4.29 eV/atom

```
data_La7PmPr12
_symmetry_space_group_name_H-M 'I m -3'
_symmetry_Int_Tables_number 204
_symmetry_space_group_name_Hall '-I 2 2 3'
_cell_length_a 11.5788
_cell_length_b 11.5788
_cell_length_c 11.5788
_cell_angle_alpha 90.00
_cell_angle_beta 90.00
_cell_angle_gamma 90.00
loop_
_atom_site_label
_atom_site_fract_x
_atom_site_fract_y
_atom_site_fract_z
_atom_site_occupancy
La1 0.0000 0.0000 0.5000 1
La2 0.2500 0.2500 0.2500 1
Pm1 0.0000 0.0000 0.0000 1
Pr1 0.0000 0.2772 0.2119 1
```


CdFeHRh2 | PBE | relaxed

Size of the total moment ... 4.1 μB per formula unit
Total energy ... -5.48 eV/atom

```
data_CdFeHRh2
_symmetry_space_group_name_H-M 'P 4/m m m'
_symmetry_Int_Tables_number 123
_symmetry_space_group_name_Hall '-P 4 2'
_cell_length_a 4.0626
_cell_length_b 4.0626
_cell_length_c 3.8102
_cell_angle_alpha 90.00
_cell_angle_beta 90.00
_cell_angle_gamma 90.00
loop_
_atom_site_label
_atom_site_fract_x
_atom_site_fract_y
_atom_site_fract_z
_atom_site_occupancy
Cd1 0.0000 0.0000 0.0000 1
Fe1 0.5000 0.5000 0.0000 1
H1 0.5000 0.5000 0.5000 1
Rh1 0.0000 0.5000 0.5000 1
```


La3AuO | PBE | relaxed

Raw formation energy ... -1.073 eV per atom
Size of the total moment ... 0.0 μB per formula unit
Total energy ... -5.68 eV/atom

```
data_La3AuO
_symmetry_space_group_name_H-M 'C m c m'
_symmetry_Int_Tables_number 63
_symmetry_space_group_name_Hall '-C 2c 2'
_cell_length_a 6.9589
_cell_length_b 10.9918
_cell_length_c 7.8281
_cell_angle_alpha 90.00
_cell_angle_beta 90.00
_cell_angle_gamma 90.00
loop_
_atom_site_label
_atom_site_fract_x
_atom_site_fract_y
_atom_site_fract_z
_atom_site_occupancy
La1 0.0000 0.0000 0.0000 1
La2 0.2291 0.2623 0.2500 1
Au1 0.0000 0.4769 0.7500 1
O1 0.0000 0.1262 0.7500 1
```


ZrZnTe3 | PBE | relaxed

Raw formation energy ... 0.395 eV per atom
Size of the total moment ... 0.6 μB per formula unit
Total energy ... -3.45 eV/atom

```
data_ZrZnTe3
_symmetry_space_group_name_H-M 'P m -3 m'
_symmetry_Int_Tables_number 221
_symmetry_space_group_name_Hall '-P 4 2 3'
_cell_length_a 5.2097
_cell_length_b 5.2097
_cell_length_c 5.2097
_cell_angle_alpha 90.00
_cell_angle_beta 90.00
_cell_angle_gamma 90.00
loop_
_atom_site_label
_atom_site_fract_x
_atom_site_fract_y
_atom_site_fract_z
_atom_site_occupancy
Zr1 0.0000 0.0000 0.0000 1
Zn1 0.5000 0.5000 0.5000 1
Te1 0.0000 0.5000 0.5000 1
```


PmDyPu2As4 | PBE | relaxed

Size of the total moment ... 9.9 μB per formula unit
Energy of formation ... -10.17 eV/f.u.
Total energy ... -8.35 eV/atom

```
data_PmDyPu2As4
_symmetry_space_group_name_H-M 'P 1 2/m 1'
_symmetry_Int_Tables_number 10
_symmetry_space_group_name_Hall '-P 2y'
_cell_length_a 7.1734
_cell_length_b 4.1637
_cell_length_c 7.2087
_cell_angle_alpha 90.00
_cell_angle_beta 109.57
_cell_angle_gamma 90.00
loop_
_atom_site_label
_atom_site_fract_x
_atom_site_fract_y
_atom_site_fract_z
_atom_site_occupancy
Pm1 0.0000 0.0000 0.0000 1
Dy1 0.0000 0.5000 0.5000 1
Pu1 0.5000 0.0000 0.5000 1
Pu2 0.5000 0.5000 0.0000 1
As1 0.2550 0.0000 0.7480 1
As2 0.2577 0.5000 0.2563 1
```


MnFeCl2 | PBE | relaxed

Raw formation energy ... -0.192 eV per atom
Size of the total moment ... 7.5 μB per formula unit
Total energy ... -5.52 eV/atom

```
data_MnFeCl2
_symmetry_space_group_name_H-M 'P 4 m m'
_symmetry_Int_Tables_number 99
_symmetry_space_group_name_Hall 'P 4 -2'
_cell_length_a 3.0720
_cell_length_b 3.0720
_cell_length_c 8.1589
_cell_angle_alpha 90.00
_cell_angle_beta 90.00
_cell_angle_gamma 90.00
loop_
_atom_site_label
_atom_site_fract_x
_atom_site_fract_y
_atom_site_fract_z
_atom_site_occupancy
Mn1 0.0000 0.0000 0.0000 1
Fe1 0.5000 0.5000 0.7648 1
Cl1 0.0000 0.0000 0.6063 1
Cl2 0.5000 0.5000 0.1764 1
```


Cu5Ni4Sn | PBE | relaxed

Size of the total moment ... 0.0 μB per formula unit
Energy of formation ... 1.78 eV/f.u.
Total energy ... -4.58 eV/atom

```
data_Cu5Ni4Sn
_symmetry_space_group_name_H-M 'C 1 2/m 1'
_symmetry_Int_Tables_number 12
_symmetry_space_group_name_Hall '-C 2y'
_cell_length_a 12.1519
_cell_length_b 4.0471
_cell_length_c 5.6237
_cell_angle_alpha 90.00
_cell_angle_beta 91.34
_cell_angle_gamma 90.00
loop_
_atom_site_label
_atom_site_fract_x
_atom_site_fract_y
_atom_site_fract_z
_atom_site_occupancy
Cu1 0.0000 0.0000 0.0000 1
Cu2 0.1733 0.5000 0.9833 1
Cu3 0.1776 0.5000 0.5035 1
Ni1 0.0114 0.5000 0.2349 1
Ni2 0.1634 0.0000 0.2397 1
Sn1 0.0000 0.0000 0.5000 1
```


NaSbTe2C | PBE | relaxed

Raw formation energy ... 0.695 eV per atom
Size of the total moment ... 0.0 μB per formula unit
Total energy ... -3.49 eV/atom

```
data_NaSbTe2C
_symmetry_space_group_name_H-M 'P 4/m m m'
_symmetry_Int_Tables_number 123
_symmetry_space_group_name_Hall '-P 4 2'
_cell_length_a 5.0498
_cell_length_b 5.0498
_cell_length_c 4.6937
_cell_angle_alpha 90.00
_cell_angle_beta 90.00
_cell_angle_gamma 90.00
loop_
_atom_site_label
_atom_site_fract_x
_atom_site_fract_y
_atom_site_fract_z
_atom_site_occupancy
Na1 0.0000 0.0000 0.0000 1
Sb1 0.5000 0.5000 0.0000 1
Te1 0.0000 0.5000 0.5000 1
C1 0.5000 0.5000 0.5000 1
```


TlCo2Br | PBE | relaxed

Raw formation energy ... 0.355 eV per atom
Size of the total moment ... 3.8 μB per formula unit
Total energy ... -4.21 eV/atom

```
data_TlCo2Br
_symmetry_space_group_name_H-M 'P 1 m 1'
_symmetry_Int_Tables_number 6
_symmetry_space_group_name_Hall 'P -2y'
_cell_length_a 3.1913
_cell_length_b 3.1063
_cell_length_c 8.4289
_cell_angle_alpha 90.00
_cell_angle_beta 100.85
_cell_angle_gamma 90.00
loop_
_atom_site_label
_atom_site_fract_x
_atom_site_fract_y
_atom_site_fract_z
_atom_site_occupancy
Tl1 0.0000 0.0000 0.0000 1
Co1 0.1859 0.0000 0.3781 1
Co2 0.6249 0.5000 0.2550 1
Br1 0.2998 0.5000 0.6058 1
```


Li4AcSn2Hg | PBE | relaxed

Size of the total moment ... 0.0 μB per formula unit
Energy of formation ... -3.50 eV/f.u.
Total energy ... -2.95 eV/atom

```
data_Li4AcSn2Hg
_symmetry_space_group_name_H-M 'R -3 m'
_symmetry_Int_Tables_number 166
_symmetry_space_group_name_Hall '-R 3 2"'
_cell_length_a 4.8279
_cell_length_b 4.8279
_cell_length_c 27.5166
_cell_angle_alpha 90.00
_cell_angle_beta 90.00
_cell_angle_gamma 120.00
loop_
_atom_site_label
_atom_site_fract_x
_atom_site_fract_y
_atom_site_fract_z
_atom_site_occupancy
Li1 0.0000 0.0000 0.0936 1
Li2 0.0000 0.0000 0.3680 1
Ac1 0.0000 0.0000 0.5000 1
Sn1 0.0000 0.0000 0.2434 1
Hg1 0.0000 0.0000 0.0000 1
```


AlTl4Bi3Se8 | PBE | relaxed

Raw formation energy ... -0.483 eV per atom
Size of the total moment ... 0.0 μB per formula unit
Total energy ... -3.78 eV/atom

```
data_AlTl4Bi3Se8
_symmetry_space_group_name_H-M 'R -3 m'
_symmetry_Int_Tables_number 166
_symmetry_space_group_name_Hall '-R 3 2"'
_cell_length_a 8.4017
_cell_length_b 8.4017
_cell_length_c 23.0433
_cell_angle_alpha 90.00
_cell_angle_beta 90.00
_cell_angle_gamma 120.00
loop_
_atom_site_label
_atom_site_fract_x
_atom_site_fract_y
_atom_site_fract_z
_atom_site_occupancy
Al1 0.0000 0.0000 0.0000 1
Tl1 0.0000 0.0000 0.5000 1
Tl2 0.0000 0.5000 0.5000 1
Bi1 0.0000 0.5000 0.0000 1
Se1 0.0000 0.0000 0.2601 1
Se2 0.0319 0.5159 0.7332 1
```